# TbAl2IrO8 PBE optimized geometry
# Calculated volume in Å³ per atom: 11.12
# Size of the total moment in μB/f.u.: 0.80
# Mass density in g cm⁻³: 6.63
# Crystal system: monoclinic
# ΔE_f (raw) in eV/atom: -2.03
data_TbAl2IrO8
_chemical_formula_sum 'Tb1 Al2 Ir1 O8'
_cell_length_a 4.636
_cell_length_b 4.619
_cell_length_c 6.233
_cell_angle_alpha 90.00
_cell_angle_beta 90.00
_cell_angle_gamma 89.62
_space_group_name_H-M_alt 'P 1'
_space_group_IT_number 1
loop_
_space_group_symop_operation_xyz
'x,y,z'
loop_
_atom_site_label
_atom_site_fract_x
_atom_site_fract_y
_atom_site_fract_z
O1 0.668 0.673 0.500
O2 0.332 0.327 0.500
O3 0.699 0.703 0.000
O4 0.211 0.785 0.785
O5 0.301 0.297 0.000
O6 0.789 0.215 0.785
O7 0.789 0.215 0.215
O8 0.211 0.785 0.215
Al1 0.500 0.500 0.251
Al2 0.500 0.500 0.749
Tb1 0.000 0.000 0.500
Ir1 0.000 0.000 0.000